Record 1
Below is an optimized crystal structure of BeIr2Rh, with properties calculated at the GGA-PBEsol level.

Geometry as POSCAR:
```
BeIr2Rh
1.0
2.685 0.000 0.000
0.000 3.614 0.000
0.000 0.000 5.278
Be Ir Rh
1 2 1
Direct
0.000 0.000 0.000
0.500 0.500 0.239
0.500 0.500 0.761
0.000 0.000 0.500
```

Calculated values
Raw total energy ... -8.00 eV/atom
Magnetization ... 0.00 Bohr magnetons per cell


Record 2
Below is an optimized crystal structure of Ca5Ta4O15, with properties calculated at the GGA-PBEsol level.

Geometry as POSCAR:
```
Ca5Ta4O15
1.0
5.568 0.000 0.000
-2.784 4.822 0.000
0.000 0.000 11.310
Ca Ta O
5 4 15
Direct
0.000 0.000 0.000
0.333 0.667 0.453
0.333 0.667 0.760
0.667 0.333 0.240
0.667 0.333 0.547
0.000 0.000 0.319
0.000 0.000 0.681
0.333 0.667 0.105
0.667 0.333 0.895
0.000 0.500 0.000
0.162 0.324 0.195
0.162 0.838 0.195
0.173 0.346 0.605
0.173 0.827 0.605
0.324 0.162 0.805
0.346 0.173 0.395
0.500 0.000 0.000
0.500 0.500 0.000
0.654 0.827 0.605
0.676 0.838 0.195
0.827 0.173 0.395
0.827 0.654 0.395
0.838 0.162 0.805
0.838 0.676 0.805
```

Calculated values
Raw formation energy ... -2999 meV/atom
Raw total energy ... -8.82 eV/atom
Distance to the lowest polymorph of the same formula ... 3.1 kJ/mol of atoms
Magnetization ... 0.00 Bohr magnetons per cell